DFT (PBE) results for crystalline CdHN3 at its relaxed geometry.

abc: 3.5089 3.5089 3.5089
angles: 90.00 90.00 90.00
Positions (direct):
Cd 0.0000 0.0000 0.0000
H 0.5000 0.5000 0.5000
N 0.0000 0.5000 0.5000
N 0.5000 0.0000 0.5000
N 0.5000 0.5000 0.0000

- Magnetic moment: 0.00 μB/atom
- VASP energy: -0.25400 Ry/atom
- Space-group type: Pm-3m (221)

---

DFT (PBE) results for crystalline CdH3N at its relaxed geometry.

abc: 3.8149 3.8149 3.8149
angles: 90.00 90.00 90.00
Positions (direct):
Cd 0.0000 0.0000 0.0000
H 0.0000 0.0000 0.5000
H 0.0000 0.5000 0.0000
H 0.5000 0.0000 0.0000
N 0.5000 0.5000 0.5000

- Polymorph energy (0 for the lowest one): 5.98 eV per formula unit
- Magnetic moment: 0.57 μB/atom
- VASP energy: -0.17611 Ry/atom
- Space-group type: Pm-3m (221)

---

DFT (PBE) results for crystalline CdHPtN2 at its relaxed geometry.

abc: 4.0618 4.0618 3.2824
angles: 90.00 90.00 90.00
Positions (direct):
Cd 0.0000 0.0000 0.0000
H 0.5000 0.5000 0.5000
Pt 0.5000 0.5000 0.0000
N 0.0000 0.5000 0.5000
N 0.5000 0.0000 0.5000

- Magnetic moment: 0.00 μB/atom
- VASP energy: -0.28532 Ry/atom
- Space-group type: P4/mmm (123)

---

DFT (PBE) results for crystalline CdH2PtN at its relaxed geometry.

abc: 3.8190 3.8190 3.9965
angles: 90.00 90.00 90.00
Positions (direct):
Cd 0.0000 0.0000 0.0000
H 0.0000 0.5000 0.5000
H 0.5000 0.0000 0.5000
Pt 0.5000 0.5000 0.0000
N 0.5000 0.5000 0.5000

- Magnetic moment: 0.00 μB/atom
- VASP energy: -0.25155 Ry/atom
- Space-group type: P4/mmm (123)

---

DFT (PBE) results for crystalline CdH6SN2 at its relaxed geometry.

abc: 6.3381 6.3381 6.0082
angles: 92.81 92.81 68.58
Positions (direct):
Cd 0.1514 0.8486 0.7500
Cd 0.8486 0.1514 0.2500
H 0.1021 0.3891 0.7384
H 0.1888 0.4909 0.9716
H 0.3672 0.3748 0.2789
H 0.3748 0.3672 0.7789
H 0.3891 0.1021 0.2384
H 0.4909 0.1888 0.4716
H 0.5091 0.8112 0.5284
H 0.6109 0.8979 0.7616
H 0.6252 0.6328 0.2211
H 0.6328 0.6252 0.7211
H 0.8112 0.5091 0.0284
H 0.8979 0.6109 0.2616
S 0.1934 0.8066 0.2500
S 0.8066 0.1934 0.7500
N 0.2080 0.4697 0.8023
N 0.4697 0.2080 0.3023
N 0.5303 0.7920 0.6977
N 0.7920 0.5303 0.1977

- Magnetic moment: 0.00 μB/atom
- VASP energy: -0.33441 Ry/atom
- Space-group type: C2/c (15)

---

DFT (PBE) results for crystalline CdHS2N at its relaxed geometry.

abc: 5.2242 5.2242 4.4635
angles: 90.00 90.00 90.00
Positions (direct):
Cd 0.0000 0.0000 0.0000
H 0.5000 0.5000 0.5000
S 0.0000 0.5000 0.0000
S 0.5000 0.0000 0.0000
N 0.0000 0.0000 0.5000

- Polymorph energy (0 for the lowest one): 3.56 eV per formula unit
- Magnetic moment: 1.12 μB/atom
- VASP energy: -0.17408 Ry/atom
- Space-group type: P4/mmm (123)

---

DFT (PBE) results for crystalline CdHS2N at its relaxed geometry.

abc: 3.4961 3.4961 6.5909
angles: 90.00 90.00 90.00
Positions (direct):
Cd 0.0000 0.0000 0.0000
H 0.5000 0.5000 0.5000
S 0.0000 0.5000 0.5000
S 0.5000 0.0000 0.5000
N 0.5000 0.5000 0.0000

- Polymorph energy (0 for the lowest one): 0.00 eV per formula unit
- Magnetic moment: 0.25 μB/atom
- VASP energy: -0.22648 Ry/atom
- Space-group type: P4/mmm (123)

---

DFT (PBE) results for crystalline CdHSe2N at its relaxed geometry.

abc: 5.4917 5.4917 4.3729
angles: 90.00 90.00 90.00
Positions (direct):
Cd 0.0000 0.0000 0.0000
H 0.5000 0.5000 0.5000
Se 0.0000 0.5000 0.0000
Se 0.5000 0.0000 0.0000
N 0.0000 0.0000 0.5000

- Polymorph energy (0 for the lowest one): 2.71 eV per formula unit
- Magnetic moment: 1.08 μB/atom
- VASP energy: -0.16674 Ry/atom
- Space-group type: P4/mmm (123)

---

DFT (PBE) results for crystalline CdHSe2N at its relaxed geometry.

abc: 3.7632 3.7632 6.8212
angles: 90.00 90.00 90.00
Positions (direct):
Cd 0.0000 0.0000 0.0000
H 0.5000 0.5000 0.5000
Se 0.0000 0.5000 0.5000
Se 0.5000 0.0000 0.5000
N 0.5000 0.5000 0.0000

- Polymorph energy (0 for the lowest one): 0.00 eV per formula unit
- Magnetic moment: 0.25 μB/atom
- VASP energy: -0.20663 Ry/atom
- Space-group type: P4/mmm (123)

---

DFT (PBE) results for crystalline TaCdH2N at its relaxed geometry.

abc: 3.8752 3.8752 4.1914
angles: 90.00 90.00 90.00
Positions (direct):
Ta 0.0000 0.0000 0.0000
Cd 0.5000 0.5000 0.0000
H 0.0000 0.5000 0.5000
H 0.5000 0.0000 0.5000
N 0.5000 0.5000 0.5000

- Magnetic moment: 0.00 μB/atom
- VASP energy: -0.26766 Ry/atom
- Space-group type: P4/mmm (123)

---

DFT (PBE) results for crystalline CdTcHN2 at its relaxed geometry.

abc: 3.9960 3.9960 3.2395
angles: 90.00 90.00 90.00
Positions (direct):
Cd 0.0000 0.0000 0.0000
Tc 0.5000 0.5000 0.0000
H 0.0000 0.0000 0.5000
N 0.0000 0.5000 0.5000
N 0.5000 0.0000 0.5000

- Magnetic moment: 0.40 μB/atom
- VASP energy: -0.33018 Ry/atom
- Space-group type: P4/mmm (123)

---

DFT (PBE) results for crystalline CdTeHN2 at its relaxed geometry.

abc: 4.2240 4.2240 6.3920
angles: 90.00 90.00 90.00
Positions (direct):
Cd 0.0000 0.0000 0.0000
Te 0.0000 0.0000 0.5000
H 0.5000 0.5000 0.5000
N 0.0000 0.5000 0.0000
N 0.5000 0.0000 0.0000

- Polymorph energy (0 for the lowest one): 1.65 eV per formula unit
- Magnetic moment: 0.85 μB/atom
- VASP energy: -0.19742 Ry/atom
- Space-group type: P4/mmm (123)